1.
# GGA-PBE ScTeIr2, optimized geometry
# ΔE_f (raw)	-1.0	eV/f.u.
# total magnetic moment	0.00	Bohr magnetons per cell
# E	-7.053	eV per atom
data_ScTeIr2
_cell_length_a 9.3093
_cell_length_b 3.1184
_cell_length_c 4.9687
_cell_angle_alpha 90.00
_cell_angle_beta 100.44
_cell_angle_gamma 90.00
_space_group_name_H-M_alt 'C 1 2/m 1'
_space_group_IT_number 12
_space_group_name_Hall '-C 2y'
loop_
_atom_site_label
_atom_site_fract_x
_atom_site_fract_y
_atom_site_fract_z
_atom_site_occupancy
Sc1 0.0000 0.0000 0.0000 1
Te1 0.0000 0.5000 0.5000 1
Ir1 0.2425 0.5000 0.2311 1

2.
# GGA-PBE ScTeIr3, optimized geometry
# energy above the most stable polymorph in this dataset	0	meV/atom
# ΔE_f (raw)	5.1	eV/f.u.
# total magnetic moment	0.00	Bohr magnetons per cell
# E	-6.196	eV per atom
data_ScTeIr3
_cell_length_a 4.8305
_cell_length_b 4.8305
_cell_length_c 4.8305
_cell_angle_alpha 90.00
_cell_angle_beta 90.00
_cell_angle_gamma 90.00
_space_group_name_H-M_alt 'P m -3 m'
_space_group_IT_number 221
_space_group_name_Hall '-P 4 2 3'
loop_
_atom_site_label
_atom_site_fract_x
_atom_site_fract_y
_atom_site_fract_z
_atom_site_occupancy
Sc1 0.0000 0.0000 0.0000 1
Te1 0.5000 0.5000 0.5000 1
Ir1 0.0000 0.5000 0.5000 1

3.
# GGA-PBE ScTeIr2, optimized geometry
# ΔE_f (raw)	-1.2	eV/f.u.
# total magnetic moment	0.00	Bohr magnetons per cell
# E	-7.104	eV per atom
data_ScTeIr2
_cell_length_a 3.9783
_cell_length_b 3.9783
_cell_length_c 8.8365
_cell_angle_alpha 90.00
_cell_angle_beta 90.00
_cell_angle_gamma 90.00
_space_group_name_H-M_alt 'I -4 m 2'
_space_group_IT_number 119
_space_group_name_Hall 'I -4 -2'
loop_
_atom_site_label
_atom_site_fract_x
_atom_site_fract_y
_atom_site_fract_z
_atom_site_occupancy
Sc1 0.0000 0.0000 0.0000 1
Te1 0.0000 0.5000 0.2500 1
Ir1 0.0000 0.0000 0.5000 1
Ir2 0.0000 0.5000 0.7500 1

4.
# GGA-PBE Sc2TeIr, optimized geometry
# ΔE_f (raw)	-2.0	eV/f.u.
# total magnetic moment	0.00	Bohr magnetons per cell
# E	-6.678	eV per atom
data_Sc2TeIr
_cell_length_a 3.9033
_cell_length_b 3.9033
_cell_length_c 25.0118
_cell_angle_alpha 90.00
_cell_angle_beta 90.00
_cell_angle_gamma 120.00
_space_group_name_H-M_alt 'R -3 m'
_space_group_IT_number 166
_space_group_name_Hall '-R 3 2"'
loop_
_atom_site_label
_atom_site_fract_x
_atom_site_fract_y
_atom_site_fract_z
_atom_site_occupancy
Sc1 0.0000 0.0000 0.1133 1
Te1 0.0000 0.0000 0.0000 1
Ir1 0.0000 0.0000 0.5000 1

5.
# GGA-PBE ScTe3Ir, optimized geometry
# energy above the most stable polymorph in this dataset	0	meV/atom
# ΔE_f (raw)	1.0	eV/f.u.
# total magnetic moment	0.00	Bohr magnetons per cell
# E	-4.724	eV per atom
data_ScTe3Ir
_cell_length_a 5.2383
_cell_length_b 5.2383
_cell_length_c 5.2383
_cell_angle_alpha 90.00
_cell_angle_beta 90.00
_cell_angle_gamma 90.00
_space_group_name_H-M_alt 'P m -3 m'
_space_group_IT_number 221
_space_group_name_Hall '-P 4 2 3'
loop_
_atom_site_label
_atom_site_fract_x
_atom_site_fract_y
_atom_site_fract_z
_atom_site_occupancy
Sc1 0.0000 0.0000 0.0000 1
Te1 0.0000 0.5000 0.5000 1
Ir1 0.5000 0.5000 0.5000 1

6.
# GGA-PBE ScTeIr2, optimized geometry
# ΔE_f (raw)	-0.3	eV/f.u.
# total magnetic moment	0.00	Bohr magnetons per cell
# E	-6.870	eV per atom
data_ScTeIr2
_cell_length_a 3.1006
_cell_length_b 3.1006
_cell_length_c 26.3619
_cell_angle_alpha 90.00
_cell_angle_beta 90.00
_cell_angle_gamma 120.00
_space_group_name_H-M_alt 'R -3 m'
_space_group_IT_number 166
_space_group_name_Hall '-R 3 2"'
loop_
_atom_site_label
_atom_site_fract_x
_atom_site_fract_y
_atom_site_fract_z
_atom_site_occupancy
Sc1 0.0000 0.0000 0.0000 1
Te1 0.0000 0.0000 0.5000 1
Ir1 0.0000 0.0000 0.2540 1

- Which formula does entry 6 have?
  ScTeIr2